(1)
## ErGaO3 (PBE)

Data for ErGaO3 after structural relaxation.

The structure belongs to space group Pnma (No. 62); the cell edges are 5.588, 7.591 and 5.267 Å and the angles 90.00°, 90.00° and 90.00°. The inequivalent atoms are Er at (0.071, 0.250, 0.020), Ga at (0.000, 0.000, 0.500), O at (0.042, 0.750, 0.383) and O at (0.194, 0.559, 0.808).

Its uncorrected energy is -36.11 eV per formula unit. The calculation puts the density of states at the Fermi level at 0.00 states/eV/cell. The value obtained for the raw formation energy is -2.73 eV/atom.

(2)
## KLiF3 (PBE)

Data for KLiF3 after structural relaxation.

The structure belongs to space group Amm2 (No. 38); the cell edges are 3.455, 5.530 and 12.320 Å and the angles 90.00°, 90.00° and 90.00°. The inequivalent atoms are K at (0.000, 0.000, 0.000), Li at (0.500, 0.000, 0.720), F at (0.000, 0.179, 0.658) and F at (0.500, 0.000, 0.863).

Its uncorrected energy is -19.36 eV per formula unit. The calculation puts the density of states at the Fermi level at 0.47 states/eV/cell. The relative energy among the computed polymorphs is 0.78 eV per formula unit. The value obtained for the raw formation energy is -2.15 eV/atom.

(3)
## CaIn2PdS (PBE)

Data for CaIn2PdS after structural relaxation.

The structure belongs to space group P4/mmm (No. 123); the cell edges are 5.282, 5.282 and 5.067 Å and the angles 90.00°, 90.00° and 90.00°. The inequivalent atoms are Ca at (0.000, 0.000, 0.000), In at (0.000, 0.500, 0.500), Pd at (0.500, 0.500, 0.000) and S at (0.000, 0.000, 0.500).

Its uncorrected energy is -17.13 eV per formula unit. The calculation puts the density of states at the Fermi level at 2.51 states/eV/cell. The value obtained for the raw formation energy is -0.07 eV/atom.

(4)
## FePt2Cl (PBE)

Data for FePt2Cl after structural relaxation.

The structure belongs to space group P4mm (No. 99); the cell edges are 2.832, 2.832 and 8.626 Å and the angles 90.00°, 90.00° and 90.00°. The inequivalent atoms are Fe at (0.000, 0.000, 0.000), Pt at (0.000, 0.000, 0.439), Pt at (0.500, 0.500, 0.209) and Cl at (0.500, 0.500, 0.824).

Its uncorrected energy is -21.99 eV per formula unit. The calculation puts the density of states at the Fermi level at 4.87 states/eV/cell. The relative energy among the computed polymorphs is 0.25 eV per formula unit. The value obtained for the raw formation energy is 0.10 eV/atom.

(5)
## V2CuMo (PBE)

Data for V2CuMo after structural relaxation.

The structure belongs to space group P4/mmm (No. 123); the cell edges are 3.115, 3.115 and 5.692 Å and the angles 90.00°, 90.00° and 90.00°. The inequivalent atoms are V at (0.000, 0.000, 0.249), Cu at (0.500, 0.500, 0.000) and Mo at (0.500, 0.500, 0.500).

Its uncorrected energy is -32.98 eV per formula unit. The calculation puts the density of states at the Fermi level at 5.33 states/eV/cell. The relative energy among the computed polymorphs is 0.00 eV per formula unit.

(6)
## Tb2ThPt (PBE)

Data for Tb2ThPt after structural relaxation.

The structure belongs to space group Pnma (No. 62); the cell edges are 7.041, 9.848 and 6.578 Å and the angles 90.00°, 90.00° and 90.00°. The inequivalent atoms are Tb at (0.185, 0.062, 0.166), Th at (0.028, 0.250, 0.649) and Pt at (0.119, 0.750, 0.935).

Its uncorrected energy is -25.30 eV per formula unit. The calculation puts the density of states at the Fermi level at 20.65 states/eV/cell. The relative energy among the computed polymorphs is 0.00 eV per formula unit.

(7)
## CaZr2Si (PBE)

Data for CaZr2Si after structural relaxation.

The structure belongs to space group F-43m (No. 216); the cell edges are 7.070, 7.070 and 7.070 Å and the angles 90.00°, 90.00° and 90.00°. The inequivalent atoms are Ca at (0.000, 0.000, 0.000), Zr at (0.000, 0.000, 0.500), Zr at (0.250, 0.250, 0.750) and Si at (0.250, 0.250, 0.250).

Its uncorrected energy is -23.90 eV per formula unit. The calculation puts the density of states at the Fermi level at 14.56 states/eV/cell. The value obtained for the raw formation energy is 0.16 eV/atom.

(8)
## Na3TiBr (PBE)

Data for Na3TiBr after structural relaxation.

The structure belongs to space group Pm-3m (No. 221); the cell edges are 6.111, 6.111 and 6.111 Å and the angles 90.00°, 90.00° and 90.00°. The inequivalent atoms are Na at (0.000, 0.000, 0.500), Ti at (0.000, 0.000, 0.000) and Br at (0.500, 0.500, 0.500).

Its uncorrected energy is -10.33 eV per formula unit. The calculation puts the density of states at the Fermi level at 16.33 states/eV/cell. The relative energy among the computed polymorphs is 2.03 eV per formula unit. The value obtained for the raw formation energy is 0.64 eV/atom.

(9)
## Sr2In6SnPd (PBE)

Data for Sr2In6SnPd after structural relaxation.

The structure belongs to space group R-3m (No. 166, hexagonal axes); the cell edges are 7.2898, 7.2898 and 38.9482 Å and the angles 90.00°, 90.00° and 120.00°. The inequivalent atoms are Sr at (0.0000, 0.0000, 0.1030), Sr at (0.0000, 0.0000, 0.2777), In at (0.0512, 0.5256, 0.3048), In at (0.0633, 0.5316, 0.8620), Sn at (0.0000, 0.0000, 0.4259), Pd at (0.0000, 0.0000, 0.0000) and Pd at (0.0000, 0.0000, 0.5000).

Its uncorrected energy is -31.62 eV per formula unit. The calculation puts the density of states at the Fermi level at 29.24 states/eV/cell.

(10)
## NaScNb2 (PBE)

Data for NaScNb2 after structural relaxation.

The structure belongs to space group Fm-3m (No. 225); the cell edges are 6.867, 6.867 and 6.867 Å and the angles 90.00°, 90.00° and 90.00°. The inequivalent atoms are Na at (0.000, 0.000, 0.000), Sc at (0.000, 0.000, 0.500) and Nb at (0.250, 0.250, 0.250).

Its uncorrected energy is -23.99 eV per formula unit. The calculation puts the density of states at the Fermi level at 21.70 states/eV/cell. The relative energy among the computed polymorphs is 0.44 eV per formula unit.

(11)
## KHf2Sc (PBE)

Data for KHf2Sc after structural relaxation.

The structure belongs to space group I-42d (No. 122); the cell edges are 4.321, 4.321 and 22.969 Å and the angles 90.00°, 90.00° and 90.00°. The inequivalent atoms are K at (0.000, 0.000, 0.000), Hf at (0.236, 0.250, 0.625) and Sc at (0.000, 0.000, 0.500).

Its uncorrected energy is -22.62 eV per formula unit. The calculation puts the density of states at the Fermi level at 24.30 states/eV/cell. The relative energy among the computed polymorphs is 0.20 eV per formula unit.

(12)
## La2Tl2Rh (PBE)

Data for La2Tl2Rh after structural relaxation.

The structure belongs to space group P4/mbm (No. 127); the cell edges are 7.554, 7.554 and 4.855 Å and the angles 90.00°, 90.00° and 90.00°. The inequivalent atoms are La at (0.164, 0.336, 0.000), Tl at (0.145, 0.645, 0.500) and Rh at (0.000, 0.000, 0.500).

Its uncorrected energy is -23.22 eV per formula unit. The calculation puts the density of states at the Fermi level at 14.01 states/eV/cell.

no.,theoretical density (g cm⁻³)
1,8.5
2,1.5
3,4.8
4,11.6
5,7.9
6,10.8
7,4.7
8,1.4
9,6.1
10,5.2
11,6.8
12,9.5